PBE-GGA PuBeSiOs, optimized geometry; formation energy (no corrections) = -5.795 kcal/mol of atoms; total magnetic moment = 5.20 Bohr magnetons per cell; N(E_F) = 2.81 states/eV per atom; calculated volume = 67.1 Å³/cell
1.0
3.980 0.000 0.000
1.990 3.447 0.000
1.990 1.149 4.892
Pu Be Si Os
1 1 1 1
direct
0.811 0.811 0.567
0.610 0.610 0.171
0.015 0.015 0.955
0.290 0.290 0.129